Record 1
# PBE-GGA Li2NpNi3H12, optimized geometry
# DFT total energy   -76.3 eV for the cell shown
# Space-group type   No. 166
# Calculated volume   169.9 Å³/cell
data_Li2NpNi3H12
_cell_length_a 5.840
_cell_length_b 5.840
_cell_length_c 5.840
_cell_angle_alpha 69.92
_cell_angle_beta 69.92
_cell_angle_gamma 69.92
_space_group_name_H-M_alt 'P 1'
_space_group_IT_number 1
_space_group_name_Hall 'P 1'
loop_
_atom_site_label
_atom_site_fract_x
_atom_site_fract_y
_atom_site_fract_z
H1 0.923 0.266 0.266
H2 0.132 0.590 0.132
H3 0.077 0.734 0.734
H4 0.266 0.266 0.923
H5 0.734 0.734 0.077
H6 0.410 0.868 0.868
H7 0.590 0.132 0.132
H8 0.868 0.868 0.410
H9 0.266 0.923 0.266
H10 0.868 0.410 0.868
H11 0.734 0.077 0.734
H12 0.132 0.132 0.590
Ni1 0.000 0.000 0.500
Ni2 0.500 0.000 0.000
Ni3 0.000 0.500 0.000
Li1 0.698 0.698 0.698
Li2 0.302 0.302 0.302
Np1 0.000 0.000 0.000

Record 2
# PBE-GGA LiNpNiH6, optimized geometry
# DFT total energy   -42.0 eV for the cell shown
# Space-group type   No. 187
# Calculated volume   68.5 Å³/cell
data_LiNpNiH6
_cell_length_a 4.326
_cell_length_b 4.326
_cell_length_c 4.227
_cell_angle_alpha 90.00
_cell_angle_beta 90.00
_cell_angle_gamma 60.00
_space_group_name_H-M_alt 'P 1'
_space_group_IT_number 1
_space_group_name_Hall 'P 1'
loop_
_atom_site_label
_atom_site_fract_x
_atom_site_fract_y
_atom_site_fract_z
H1 0.022 0.489 0.229
H2 0.489 0.022 0.229
H3 0.022 0.489 0.771
H4 0.489 0.022 0.771
H5 0.489 0.489 0.771
H6 0.489 0.489 0.229
Np1 0.000 0.000 0.000
Li1 0.667 0.667 0.500
Ni1 0.333 0.333 0.500

Record 3
# PBE-GGA Li2NpNiH8, optimized geometry
# DFT total energy   -51.6 eV for the cell shown
# Space-group type   No. 10
# Calculated volume   95.1 Å³/cell
data_Li2NpNiH8
_cell_length_a 4.212
_cell_length_b 4.437
_cell_length_c 6.000
_cell_angle_alpha 57.97
_cell_angle_beta 90.00
_cell_angle_gamma 90.00
_space_group_name_H-M_alt 'P 1'
_space_group_IT_number 1
_space_group_name_Hall 'P 1'
loop_
_atom_site_label
_atom_site_fract_x
_atom_site_fract_y
_atom_site_fract_z
H1 0.250 0.160 0.101
H2 0.500 0.241 0.463
H3 0.750 0.840 0.899
H4 0.000 0.348 0.702
H5 0.750 0.160 0.101
H6 0.250 0.840 0.899
H7 0.000 0.652 0.298
H8 0.500 0.759 0.537
Li1 0.500 0.707 0.234
Li2 0.500 0.293 0.766
Ni1 0.000 0.000 0.000
Np1 0.000 0.000 0.500